Density functional theory data (PBE+U) for a relaxed VAgN2F crystal.

Summary:
Fermi-level density of states: 0.469 states/eV/atom
Size of the total moment: 1.037 μB/f.u.
VASP energy: -4.307 eV per atom
Relative energy among the computed polymorphs: 1.384 eV per atom

The structure in POSCAR format:
```
VAgN2F
1.0
-3.8921 -0.0758 -1.1142
-0.8980 -2.1892 3.2858
-0.6948 3.5635 2.1843
N F Ag V
2 1 1 1
Cartesian
-0.4490 -1.0946 1.6429 N
-1.9460 -0.0379 -0.5571 N
-0.3474 1.7817 1.0922 F
0.0000 0.0000 0.0000 Ag
-2.7424 0.6492 2.1779 V
```



Density functional theory data (PBE+U) for a relaxed VAgN2F crystal.

Summary:
Fermi-level density of states: 0.432 states/eV/atom
Size of the total moment: 0.457 μB/f.u.
VASP energy: -5.233 eV per atom
Relative energy among the computed polymorphs: 0.458 eV per atom

The structure in POSCAR format:
```
VAgN2F
1.0
3.6736 0.0000 0.0000
0.0000 5.9089 0.0000
0.0000 0.0000 3.6736
N F Ag V
2 1 1 1
Cartesian
0.0000 0.0000 1.8368 N
1.8368 0.0000 0.0000 N
1.8368 2.9545 1.8368 F
0.0000 2.9545 0.0000 Ag
0.0000 0.0000 0.0000 V
```